A relaxed BaMn2Os2 crystal. Source: Alexandria, functional PBE.

Energy above the lowest structure with this stoichiometry ... 0.0 meV/atom
Formation energy from the elements ... 267 kJ/mol of formula units
SG ... I4/mmm (139)

Structure (POSCAR):
```
BaMn2Os2
1.0
-3.307 -2.325 1.238
1.815 -3.451 -1.633
1.603 -3.805 4.352
Mn Os Ba
2 2 1
direct
0.750 0.250 0.500
0.250 0.750 0.500
0.362 0.362 0.276
0.638 0.638 0.724
0.000 0.000 0.000
```